Cs2Pa3NiO12 | PBE with a Hubbard U | relaxed

Cell lengths 7.608, 7.608, 7.608 Å; angles 63.62, 63.62, 63.62 degrees
Positions (direct):
Cs 0.129 0.129 0.129
Cs 0.871 0.871 0.871
Pa 0.000 0.500 0.500
Pa 0.500 0.000 0.500
Pa 0.500 0.500 0.000
Ni 0.500 0.500 0.500
O 0.176 0.176 0.554
O 0.176 0.554 0.176
O 0.222 0.552 0.552
O 0.446 0.824 0.824
O 0.448 0.448 0.778
O 0.448 0.778 0.448
O 0.552 0.222 0.552
O 0.552 0.552 0.222
O 0.554 0.176 0.176
O 0.778 0.448 0.448
O 0.824 0.446 0.824
O 0.824 0.824 0.446

V in Å³ per cell: 336.2
Size of the total moment in μB per formula unit: 3.0
DFT total energy in eV/atom: -7.46